InFeP2: optimized geometry, PBE.

## Properties
ΔE_f = 0.3404 eV/atom
final energy = -5.165 eV per atom
mass density = 4.8 Mg/m³

abc: 5.010 5.010 5.010
angles: 135.61 108.71 87.97
Fractional positions:
Fe: 0.250 0.750 0.500
In: 0.750 0.250 0.500
P: 0.090 0.090 0.000
P: 0.410 0.410 0.000

---

AcMgI2O8: optimized geometry, PBE.

## Properties
final energy = -5.314 eV per atom
mass density = 4.8 Mg/m³
formation energy without anion corrections = -1.275 eV per atom

abc: 6.031 6.031 6.938
angles: 90.00 90.00 120.00
Fractional positions:
Ac: 0.000 0.000 0.500
Mg: 0.000 0.000 0.000
I: 0.333 0.667 0.787
I: 0.667 0.333 0.213
O: 0.148 0.297 0.796
O: 0.148 0.852 0.796
O: 0.703 0.852 0.796
O: 0.297 0.148 0.204
O: 0.667 0.333 0.474
O: 0.333 0.667 0.526
O: 0.852 0.703 0.204
O: 0.852 0.148 0.204

---

Li2BeF: optimized geometry, PBE.

## Properties
offset from the most stable computed form = 0.00 eV per formula unit
final energy = -3.230 eV per atom
mass density = 1.2 Mg/m³
formation energy without anion corrections = -0.873 eV per atom

abc: 5.676 5.676 5.316
angles: 57.73 57.73 90.00
Fractional positions:
Be: 0.500 0.500 0.000
Be: 0.250 0.750 0.500
Li: 0.740 0.125 0.250
Li: 0.010 0.625 0.250
Li: 0.375 0.260 0.750
Li: 0.875 0.990 0.750
F: 0.000 0.000 0.000
F: 0.750 0.250 0.500

---

HoErSc2Bi4: optimized geometry, PBE.

## Properties
ΔE_f = -0.7388 eV/atom
final energy = -5.405 eV per atom
mass density = 8.9 Mg/m³

abc: 4.363 7.555 7.552
angles: 109.46 90.00 90.00
Fractional positions:
Ho: 0.000 0.000 0.000
Er: 0.500 0.500 0.000
Sc: 0.500 0.000 0.500
Sc: 0.000 0.500 0.500
Bi: 0.500 0.255 0.263
Bi: 0.500 0.745 0.737
Bi: 0.000 0.246 0.737
Bi: 0.000 0.754 0.263

---

Ca3ZnSe: optimized geometry, PBE.

## Properties
offset from the most stable computed form = 0.00 eV per formula unit
final energy = -2.718 eV per atom
mass density = 2.6 Mg/m³
formation energy without anion corrections = -0.565 eV per atom

abc: 5.551 5.551 5.551
angles: 90.00 90.00 90.00
Fractional positions:
Zn: 0.500 0.500 0.500
Ca: 0.000 0.500 0.000
Ca: 0.000 0.000 0.500
Ca: 0.500 0.000 0.000
Se: 0.000 0.000 0.000

---

LaPtN2: optimized geometry, PBE.

## Properties
offset from the most stable computed form = 0.77 eV per formula unit
final energy = -7.032 eV per atom
mass density = 9.0 Mg/m³
formation energy without anion corrections = -0.127 eV per atom

abc: 4.786 4.786 6.727
angles: 69.16 69.16 90.00
Fractional positions:
N: 0.694 0.125 0.250
N: 0.056 0.625 0.250
N: 0.375 0.306 0.750
N: 0.875 0.944 0.750
Pt: 0.000 0.000 0.000
Pt: 0.750 0.250 0.500
La: 0.500 0.500 0.000
La: 0.250 0.750 0.500